# 1
Below is a geometry-optimized SiC3S structure, with properties calculated at the PBE level.

a b c (Å): 3.8050 3.8050 3.8050
angles (deg): 90.00 90.00 90.00
Last column: nearest neighbours and their distance in Å.
Positions (direct):
Si1 0.0000 0.0000 0.0000  6 C 1.90
C1 0.5000 0.0000 0.0000  2 Si 1.90
S1 0.5000 0.5000 0.5000  12 C 2.69
C2 0.0000 0.0000 0.5000  2 Si 1.90
C3 0.0000 0.5000 0.0000  2 Si 1.90

Properties
E above lowest polymorph (kJ per mole of atoms): 0.00


# 2
Below is a geometry-optimized SiC3S structure, with properties calculated at the PBE level.

a b c (Å): 3.5975 3.5975 3.5975
angles (deg): 90.00 90.00 90.00
Last column: nearest neighbours and their distance in Å.
Positions (direct):
S1 0.0000 0.0000 0.0000  6 C 1.80
Si1 0.5000 0.5000 0.5000  12 C 2.54
C1 0.0000 0.5000 0.0000  2 S 1.80
C2 0.0000 0.0000 0.5000  2 S 1.80
C3 0.5000 0.0000 0.0000  2 S 1.80

Properties
E above lowest polymorph (kJ per mole of atoms): 22.38


# 3
Below is a geometry-optimized Th6SiC3S2 structure, with properties calculated at the PBE level.

a b c (Å): 3.8840 8.0995 8.9688
angles (deg): 105.78 102.51 90.00
Last column: nearest neighbours and their distance in Å.
Positions (direct):
Si1 0.5000 0.0000 0.0000  6 Th 2.95-2.96
S1 0.1688 0.3362 0.3375  6 Th 2.94-2.97
C1 0.5000 0.5000 0.0000  6 Th 2.66-2.67
Th1 0.0063 0.7296 0.0126  3 C 2.67-2.70, 2 Si 2.95, 1 S 2.96
Th2 0.3253 0.9375 0.6507  3 C 2.66-2.70, 1 Si 2.96, 2 S 2.97
C2 0.1671 0.8262 0.3343  6 Th 2.62-2.70
Th3 0.6747 0.0625 0.3493  3 C 2.66-2.70, 1 Si 2.96, 2 S 2.97
C3 0.8329 0.1738 0.6657  6 Th 2.62-2.70
Th4 0.9937 0.2704 0.9874  3 C 2.67-2.70, 2 Si 2.95, 1 S 2.96
Th5 0.3421 0.3955 0.6842  3 C 2.62-2.66
S2 0.8312 0.6638 0.6625  6 Th 2.94-2.97
Th6 0.6579 0.6045 0.3158  3 C 2.62-2.66


# 4
Below is a geometry-optimized Th6Si2CS3 structure, with properties calculated at the PBE level.

a b c (Å): 4.0738 8.2461 9.1413
angles (deg): 102.63 102.87 90.00
Last column: nearest neighbours and their distance in Å.
Positions (direct):
Th1 0.6522 0.0745 0.3044  1 C 2.64, 2 S 2.90, 2 Si 2.91
Th2 0.3478 0.9255 0.6956  1 C 2.64, 2 S 2.90, 2 Si 2.91
S1 0.5000 0.5000 0.0000  6 Th 2.88-3.07
S2 0.1718 0.8364 0.3436  6 Th 2.90-3.06
Th3 0.0012 0.7799 0.0024  2 C 2.73, 1 Si 2.90, 1 S 2.97
Th4 0.3343 0.4164 0.6686  3 S 2.88-2.90, 3 Si 2.91-2.94
S3 0.8282 0.1636 0.6564  6 Th 2.90-3.06
Th5 0.6657 0.5836 0.3314  3 S 2.88-2.90, 3 Si 2.91-2.94
C1 0.5000 0.0000 0.0000  6 Th 2.64-2.73
Th6 0.9988 0.2201 0.9976  2 C 2.73, 1 Si 2.90, 1 S 2.97
Si1 0.1653 0.3312 0.3307  6 Th 2.90-2.94
Si2 0.8347 0.6688 0.6693  6 Th 2.90-2.94


# 5
Below is a geometry-optimized Tm4SiCS2 structure, with properties calculated at the PBE level.

a b c (Å): 5.4309 5.4309 6.7086
angles (deg): 113.88 113.88 90.00
Last column: nearest neighbours and their distance in Å.
Positions (direct):
S1 0.0000 0.0000 0.0000  6 Tm 2.73-2.75
S2 0.2500 0.7500 0.5000  4 Tm 2.72
Tm1 0.5281 0.0281 0.0563  1 C 2.44, 2 S 2.73, 2 Si 2.73
Tm2 0.9719 0.4719 0.9437  1 C 2.44, 2 Si 2.73, 2 S 2.73
Tm3 0.2502 0.2502 0.5005  2 C 2.72, 3 S 2.72-2.75, 1 Si 2.75
C1 0.7500 0.2500 0.5000  6 Tm 2.44-2.72
Si1 0.5000 0.5000 0.0000  6 Tm 2.73-2.75
Tm4 0.7498 0.7498 0.4995  3 S 2.72-2.75, 2 C 2.72, 1 Si 2.75


# 6
Below is a geometry-optimized Sm4CS3 structure, with properties calculated at the PBE level.

a b c (Å): 3.9040 6.8784 6.8784
angles (deg): 108.89 90.00 90.00
Last column: nearest neighbours and their distance in Å.
Positions (direct):
S1 0.0000 0.0000 0.5000  6 Sm 2.80-2.81
Sm1 0.0000 0.2217 0.2217  2 C 2.64, 2 S 2.81
C1 0.5000 0.0000 0.0000  6 Sm 2.60-2.64
Sm2 0.5000 0.7678 0.2322  1 C 2.60, 4 S 2.80
Sm3 0.5000 0.2322 0.7678  1 C 2.60, 4 S 2.80
S2 0.0000 0.5000 0.0000  6 Sm 2.80-2.81
S3 0.5000 0.5000 0.5000  6 Sm 2.96-3.00
Sm4 0.0000 0.7783 0.7783  2 C 2.64, 2 S 2.81


# 7
Below is a geometry-optimized Sm2CS structure, with properties calculated at the PBE level.

a b c (Å): 3.8266 3.8266 6.8920
angles (deg): 73.88 73.88 60.00
Last column: nearest neighbours and their distance in Å.
Positions (direct):
Sm1 0.7384 0.7384 0.7849  3 C 2.62, 3 S 2.89
Sm2 0.2616 0.2616 0.2151  3 C 2.62, 3 S 2.89
S1 0.5000 0.5000 0.5000  6 Sm 2.89
C1 0.0000 0.0000 0.0000  6 Sm 2.62


# 8
Below is a geometry-optimized Sm3CS2 structure, with properties calculated at the PBE level.

a b c (Å): 3.8484 5.5662 6.8969
angles (deg): 113.80 106.20 90.00
Last column: nearest neighbours and their distance in Å.
Positions (direct):
S1 0.1718 0.1718 0.8436  6 Sm 2.80-2.94
Sm1 0.5000 0.0000 0.5000  2 C 2.78, 4 S 2.82
Sm2 0.8565 0.3565 0.2129  2 C 2.58, 2 S 2.80
S2 0.8282 0.8282 0.1564  6 Sm 2.80-2.94
C1 0.5000 0.5000 0.5000  6 Sm 2.58-2.78
Sm3 0.1435 0.6435 0.7871  2 C 2.58, 2 S 2.80


Computed calculated total energy, in the same sequence as the records: -5.136 -4.905 -8.089 -7.622 -6.337 -6.696 -6.863 -6.747 eV per atom.
Computed formation energy without anion corrections, in the same sequence as the records: 11.5 12.7 -11.2 -14.5 -9.9 -13.1 -4.7 -8.8 eV per formula unit.